{
  "formula": "HfSc2IrN",
  "functional": "PBE-GGA",
  "state": "relaxed",
  "cell": [[4.271, 0.000, 0.000], [0.000, 4.271, 0.000], [0.000, 0.000, 4.480]],
  "species": ["Sc", "Sc", "Ir", "Hf", "N"],
  "frac_coords": [[0.000, 0.500, 0.000], [0.500, 0.000, 0.000], [0.500, 0.500, 0.500], [0.000, 0.000, 0.500], [0.000, 0.000, 0.000]],
  "m_tot_mub_per_fu": 0.00,
  "raw_formation_energy_ev_per_atom": -1.08,
  "dft_energy_ev_per_fu": -45.21
}